## one
Entry from Alexandria via LeMat-Bulk: an optimized crystal structure of AcMgZn (PBE-GGA).

Unit cell a=4.808 b=7.726 c=7.726 alpha=120.00 beta=90.00 gamma=90.00
Fractional coordinates of all 9 atoms:
Ac 0.500 0.420 0.420
Ac 0.500 0.000 0.580
Ac 0.500 0.580 0.000
Mg 0.000 0.766 0.766
Mg 0.000 0.000 0.234
Mg 0.000 0.234 0.000
Zn 0.000 0.333 0.667
Zn 0.000 0.667 0.333
Zn 0.500 0.000 0.000

**Calculated volume**: 249 Å³ per cell
**SG**: P-62m, No. 189

## two
Entry from Alexandria via LeMat-Bulk: an optimized crystal structure of AcMgZn (PBE-GGA).

Unit cell a=3.846 b=5.034 c=5.034 alpha=120.00 beta=90.00 gamma=90.00
Fractional coordinates of all 3 atoms:
Mg 0.166 0.000 0.000
Ac 0.667 0.667 0.333
Zn 0.167 0.333 0.667

**Calculated volume**: 84 Å³ per cell
**SG**: P-6m2, No. 187

## three
Entry from Alexandria via LeMat-Bulk: an optimized crystal structure of AcMgZn (PBE-GGA).

Unit cell a=3.637 b=3.637 c=6.765 alpha=105.59 beta=105.59 gamma=90.00
Fractional coordinates of all 3 atoms:
Zn 0.685 0.685 0.371
Mg 0.303 0.303 0.605
Ac 0.012 0.012 0.024

**Calculated volume**: 83 Å³ per cell
**SG**: I4mm, No. 107

## four
Entry from Alexandria via LeMat-Bulk: an optimized crystal structure of AcMgZn (PBE-GGA).

Unit cell a=5.071 b=5.071 c=5.071 alpha=60.00 beta=60.00 gamma=60.00
Fractional coordinates of all 3 atoms:
Mg 0.500 0.500 0.500
Ac 0.000 0.000 0.000
Zn 0.250 0.250 0.250

**Calculated volume**: 92 Å³ per cell
**SG**: F-43m, No. 216

Least stable = three

## one
Entry from Alexandria via LeMat-Bulk: an optimized crystal structure of AcMg3Zn (PBE-GGA).

Unit cell a=5.149 b=5.149 c=5.149 alpha=90.00 beta=90.00 gamma=90.00
Fractional coordinates of all 5 atoms:
Mg 0.000 0.500 0.000
Mg 0.000 0.000 0.500
Mg 0.500 0.000 0.000
Ac 0.500 0.500 0.500
Zn 0.000 0.000 0.000

**Calculated volume**: 137 Å³ per cell
**SG**: Pm-3m, No. 221

## two
Entry from Alexandria via LeMat-Bulk: an optimized crystal structure of AcMg3Zn (PBE-GGA).

Unit cell a=6.614 b=6.685 c=7.143 alpha=122.27 beta=90.00 gamma=90.00
Fractional coordinates of all 10 atoms:
Ac 0.250 0.539 0.769
Ac 0.750 0.461 0.231
Mg 0.500 0.000 0.295
Mg 0.500 0.000 0.705
Mg 0.000 0.000 0.295
Mg 0.000 0.000 0.705
Mg 0.250 0.227 0.114
Mg 0.750 0.773 0.886
Zn 0.250 0.696 0.348
Zn 0.750 0.304 0.652

**Calculated volume**: 267 Å³ per cell
**SG**: Cmcm, No. 63

Least stable = one